Record 1
# PBE LiPt, relaxed
data_LiPt
_space_group_name_H-M_alt 'P 1'
_space_group_IT_number 1
_space_group_name_Hall 'P 1'
_cell_length_a 2.6741
_cell_length_b 4.2590
_cell_length_c 5.0759
_cell_angle_alpha 90.00
_cell_angle_beta 105.26
_cell_angle_gamma 90.00
loop_
_atom_site_label
_atom_site_fract_x
_atom_site_fract_y
_atom_site_fract_z
Li1 0.0638 0.2500 0.1243
Li2 0.9362 0.7500 0.8757
Pt1 0.3185 0.2500 0.6367
Pt2 0.6815 0.7500 0.3633
# Energy relative to the elements, eV/atom: -0.463
# E, eV/atom: -4.440
# Crystal system: monoclinic
# Mass density, g/cm³: 12.031
# Space-group type: P2_1/m, No. 11
# DOS(E_F), states/eV per cell: 1.9
# Total magnetization, μB per formula unit: 0.000

***

Record 2
# PBE LiPt2, relaxed
data_LiPt2
_space_group_name_H-M_alt 'P 1'
_space_group_IT_number 1
_space_group_name_Hall 'P 1'
_cell_length_a 3.9760
_cell_length_b 3.9760
_cell_length_c 2.8322
_cell_angle_alpha 90.00
_cell_angle_beta 90.00
_cell_angle_gamma 90.00
loop_
_atom_site_label
_atom_site_fract_x
_atom_site_fract_y
_atom_site_fract_z
Li1 0.0000 0.0000 0.0000
Pt1 0.0000 0.5000 0.5000
Pt2 0.5000 0.0000 0.5000
# Energy relative to the elements, eV/atom: -0.009
# E, eV/atom: -4.674
# Crystal system: tetragonal
# Mass density, g/cm³: 14.728
# Space-group type: P4/mmm, No. 123
# DOS(E_F), states/eV per cell: 2.7
# Excess energy over the best structure of this formula in the dataset, eV per formula unit: 1.32
# Total magnetization, μB per formula unit: 0.000

***

Record 3
# PBE Li5Pt, relaxed
data_Li5Pt
_space_group_name_H-M_alt 'P 1'
_space_group_IT_number 1
_space_group_name_Hall 'P 1'
_cell_length_a 4.6615
_cell_length_b 4.6615
_cell_length_c 5.4186
_cell_angle_alpha 100.68
_cell_angle_beta 100.68
_cell_angle_gamma 53.10
loop_
_atom_site_label
_atom_site_fract_x
_atom_site_fract_y
_atom_site_fract_z
Li1 0.0000 0.0000 0.0000
Li2 0.3262 0.3262 0.6616
Li3 0.3517 0.3517 0.2105
Li4 0.6483 0.6483 0.7895
Li5 0.6738 0.6738 0.3384
Pt1 0.0000 0.0000 0.5000
# Energy relative to the elements, eV/atom: -0.289
# E, eV/atom: -2.891
# Crystal system: monoclinic
# Mass density, g/cm³: 4.142
# Space-group type: C2/m, No. 12
# DOS(E_F), states/eV per cell: 1.6
# Excess energy over the best structure of this formula in the dataset, eV per formula unit: 0.02
# Total magnetization, μB per formula unit: 0.000